A plane-wave DFT calculation with PBE-GGA was carried out for TbSm12Tm6 after structural relaxation.

Summary:
ΔE to the lowest computed polymorph ... 0.0000 eV per atom
Mass density ... 7.8 g/cm³
Formation energy from the elements ... 0.14 eV per atom

a = 8.5807 Å, b = 8.5807 Å, c = 8.5807 Å
α = 88.79°, β = 88.79°, γ = 88.79°
Atoms (fractional coordinates):
Tb 0.0000 0.0000 0.0000
Sm 0.0160 0.3624 0.1961
Sm 0.1961 0.0160 0.3624
Sm 0.2197 0.5664 0.4623
Sm 0.3624 0.1961 0.0160
Sm 0.4336 0.5377 0.7803
Sm 0.4623 0.2197 0.5664
Sm 0.5377 0.7803 0.4336
Sm 0.5664 0.4623 0.2197
Sm 0.6376 0.8039 0.9840
Sm 0.7803 0.4336 0.5377
Sm 0.8039 0.9840 0.6376
Sm 0.9840 0.6376 0.8039
Tm 0.0991 0.2586 0.7008
Tm 0.2586 0.7008 0.0991
Tm 0.2992 0.9009 0.7414
Tm 0.7008 0.0991 0.2586
Tm 0.7414 0.2992 0.9009
Tm 0.9009 0.7414 0.2992